The following is a PBE-GGA calculation of an optimized crystal structure of Sc2MnZn, from Alexandria.

Output
The value obtained for the formation energy is -157 meV per atom. The density of states at the Fermi level comes out at 4.152 states/eV/f.u. The calculation puts the calculated volume at 18.261 Å³/atom.

Structure (CIF):
```
data_Sc2MnZn
_cell_length_a 3.2320
_cell_length_b 3.2320
_cell_length_c 6.9928
_cell_angle_alpha 90.00
_cell_angle_beta 90.00
_cell_angle_gamma 90.00
_space_group_name_H-M_alt 'P 4/m m m'
_space_group_IT_number 123
_space_group_name_Hall '-P 4 2'
loop_
_atom_site_label
_atom_site_fract_x
_atom_site_fract_y
_atom_site_fract_z
_atom_site_occupancy
Sc1 0.0000 0.0000 0.2367 1
Mn1 0.5000 0.5000 0.0000 1
Zn1 0.5000 0.5000 0.5000 1
```


The following is a PBE-GGA calculation of an optimized crystal structure of ScMn2Zn, from Alexandria.

Output
The value obtained for the formation energy is 46 meV per atom. The density of states at the Fermi level comes out at 3.610 states/eV/f.u. The calculation puts the calculated volume at 15.474 Å³/atom.

Structure (CIF):
```
data_ScMn2Zn
_cell_length_a 6.2793
_cell_length_b 6.2793
_cell_length_c 6.2793
_cell_angle_alpha 90.00
_cell_angle_beta 90.00
_cell_angle_gamma 90.00
_space_group_name_H-M_alt 'F -4 3 m'
_space_group_IT_number 216
_space_group_name_Hall 'F -4 2 3'
loop_
_atom_site_label
_atom_site_fract_x
_atom_site_fract_y
_atom_site_fract_z
_atom_site_occupancy
Sc1 0.0000 0.0000 0.0000 1
Mn1 0.0000 0.0000 0.5000 1
Mn2 0.2500 0.2500 0.7500 1
Zn1 0.2500 0.2500 0.2500 1
```


The following is a PBE-GGA calculation of an optimized crystal structure of Sc2MnZn, from Alexandria.

Output
The value obtained for the formation energy is 345 meV per atom. The density of states at the Fermi level comes out at 3.456 states/eV/f.u. The calculation puts the calculated volume at 20.144 Å³/atom.

Structure (CIF):
```
data_Sc2MnZn
_cell_length_a 3.1244
_cell_length_b 3.1244
_cell_length_c 28.5932
_cell_angle_alpha 90.00
_cell_angle_beta 90.00
_cell_angle_gamma 120.00
_space_group_name_H-M_alt 'R -3 m'
_space_group_IT_number 166
_space_group_name_Hall '-R 3 2"'
loop_
_atom_site_label
_atom_site_fract_x
_atom_site_fract_y
_atom_site_fract_z
_atom_site_occupancy
Sc1 0.0000 0.0000 0.0880 1
Mn1 0.0000 0.0000 0.0000 1
Zn1 0.0000 0.0000 0.5000 1
```


The following is a PBE-GGA calculation of an optimized crystal structure of ScMn2Zn, from Alexandria.

Output
The value obtained for the formation energy is 210 meV per atom. The density of states at the Fermi level comes out at 4.041 states/eV/f.u. The calculation puts the calculated volume at 15.478 Å³/atom.

Structure (CIF):
```
data_ScMn2Zn
_cell_length_a 5.5233
_cell_length_b 8.6812
_cell_length_c 2.8008
_cell_angle_alpha 90.00
_cell_angle_beta 112.78
_cell_angle_gamma 90.00
_space_group_name_H-M_alt 'C 1 2/m 1'
_space_group_IT_number 12
loop_
_space_group_symop_operation_xyz
'x,y,z'
'-x,-y,-z'
'-x,y,-z'
'x,-y,z'
'x+1/2,y+1/2,z'
'-x+1/2,-y+1/2,-z'
'-x+1/2,y+1/2,-z'
'x+1/2,-y+1/2,z'
loop_
_atom_site_label
_atom_site_fract_x
_atom_site_fract_y
_atom_site_fract_z
_atom_site_occupancy
Sc1 0.0000 0.0000 0.0000 1
Mn1 0.2500 0.2500 0.5000 1
Zn1 0.0000 0.5000 0.0000 1
```


The following is a PBE-GGA calculation of an optimized crystal structure of Sc2MnZn, from Alexandria.

Output
The value obtained for the formation energy is -96 meV per atom. The density of states at the Fermi level comes out at 5.076 states/eV/f.u. The calculation puts the calculated volume at 18.890 Å³/atom.

Structure (CIF):
```
data_Sc2MnZn
_cell_length_a 4.3997
_cell_length_b 3.2566
_cell_length_c 10.5473
_cell_angle_alpha 90.00
_cell_angle_beta 90.00
_cell_angle_gamma 90.00
_space_group_name_H-M_alt 'A m m 2'
_space_group_IT_number 38
loop_
_space_group_symop_operation_xyz
'x,y,z'
'-x,-y,z'
'-x,y,z'
'x,-y,z'
'x,y+1/2,z+1/2'
'-x,-y+1/2,z+1/2'
'-x,y+1/2,z+1/2'
'x,-y+1/2,z+1/2'
loop_
_atom_site_label
_atom_site_fract_x
_atom_site_fract_y
_atom_site_fract_z
_atom_site_occupancy
Sc1 0.0000 0.0000 0.0000 1
Sc2 0.5000 0.0000 0.3067 1
Mn1 0.0000 0.0000 0.7227 1
Zn1 0.5000 0.0000 0.5842 1
```


The following is a PBE-GGA calculation of an optimized crystal structure of Sc2MnZn, from Alexandria.

Output
The value obtained for the formation energy is 349 meV per atom. The density of states at the Fermi level comes out at 3.976 states/eV/f.u. The calculation puts the calculated volume at 19.847 Å³/atom.

Structure (CIF):
```
data_Sc2MnZn
_cell_length_a 3.1010
_cell_length_b 3.1010
_cell_length_c 28.5990
_cell_angle_alpha 90.00
_cell_angle_beta 90.00
_cell_angle_gamma 120.00
_space_group_name_H-M_alt 'R -3 m'
_space_group_IT_number 166
_space_group_name_Hall '-R 3 2"'
loop_
_atom_site_label
_atom_site_fract_x
_atom_site_fract_y
_atom_site_fract_z
_atom_site_occupancy
Sc1 0.0000 0.0000 0.1021 1
Mn1 0.0000 0.0000 0.5000 1
Zn1 0.0000 0.0000 0.0000 1
```


The following is a PBE-GGA calculation of an optimized crystal structure of Sc2MnZn, from Alexandria.

Output
The value obtained for the formation energy is -109 meV per atom. The density of states at the Fermi level comes out at 5.737 states/eV/f.u. The calculation puts the calculated volume at 18.366 Å³/atom.

Structure (CIF):
```
data_Sc2MnZn
_cell_length_a 4.7370
_cell_length_b 4.7370
_cell_length_c 3.2739
_cell_angle_alpha 90.00
_cell_angle_beta 90.00
_cell_angle_gamma 90.00
_space_group_name_H-M_alt 'P 4/m m m'
_space_group_IT_number 123
_space_group_name_Hall '-P 4 2'
loop_
_atom_site_label
_atom_site_fract_x
_atom_site_fract_y
_atom_site_fract_z
_atom_site_occupancy
Sc1 0.0000 0.5000 0.0000 1
Mn1 0.0000 0.0000 0.5000 1
Zn1 0.5000 0.5000 0.5000 1
```


The following is a PBE-GGA calculation of an optimized crystal structure of ScMnZn2, from Alexandria.

Output
The value obtained for the formation energy is -27 meV per atom. The density of states at the Fermi level comes out at 4.093 states/eV/f.u. The calculation puts the calculated volume at 16.130 Å³/atom.

Structure (CIF):
```
data_ScMnZn2
_cell_length_a 4.0273
_cell_length_b 4.0273
_cell_length_c 7.9558
_cell_angle_alpha 90.00
_cell_angle_beta 90.00
_cell_angle_gamma 90.00
_space_group_name_H-M_alt 'I -4 m 2'
_space_group_IT_number 119
_space_group_name_Hall 'I -4 -2'
loop_
_atom_site_label
_atom_site_fract_x
_atom_site_fract_y
_atom_site_fract_z
_atom_site_occupancy
Sc1 0.0000 0.0000 0.0000 1
Mn1 0.0000 0.5000 0.2500 1
Zn1 0.0000 0.0000 0.5000 1
Zn2 0.0000 0.5000 0.7500 1
```


The following is a PBE-GGA calculation of an optimized crystal structure of Sc2MnZn16, from Alexandria.

Output
The value obtained for the formation energy is -138 meV per atom. The density of states at the Fermi level comes out at 7.034 states/eV/f.u. The calculation puts the calculated volume at 15.544 Å³/atom.

Structure (CIF):
```
data_Sc2MnZn16
_cell_length_a 8.8440
_cell_length_b 8.8440
_cell_length_c 13.0800
_cell_angle_alpha 90.00
_cell_angle_beta 90.00
_cell_angle_gamma 120.00
_space_group_name_H-M_alt 'R 3 m'
_space_group_IT_number 160
_space_group_name_Hall 'R 3 -2"'
loop_
_atom_site_label
_atom_site_fract_x
_atom_site_fract_y
_atom_site_fract_z
_atom_site_occupancy
Sc1 0.0000 0.0000 0.0000 1
Sc2 0.0000 0.0000 0.3347 1
Mn1 0.0000 0.0000 0.7662 1
Zn1 0.0000 0.0000 0.5642 1
Zn2 0.0000 0.2984 0.6724 1
Zn3 0.9999 0.5000 0.1713 1
Zn4 0.0004 0.5002 0.5239 1
Zn5 0.0215 0.5108 0.8220 1
```


The following is a PBE-GGA calculation of an optimized crystal structure of ScMnZn2, from Alexandria.

Output
The value obtained for the formation energy is 85 meV per atom. The density of states at the Fermi level comes out at 3.431 states/eV/f.u. The calculation puts the calculated volume at 17.533 Å³/atom.

Structure (CIF):
```
data_ScMnZn2
_cell_length_a 3.0814
_cell_length_b 3.0814
_cell_length_c 25.5867
_cell_angle_alpha 90.00
_cell_angle_beta 90.00
_cell_angle_gamma 120.00
_space_group_name_H-M_alt 'R -3 m'
_space_group_IT_number 166
_space_group_name_Hall '-R 3 2"'
loop_
_atom_site_label
_atom_site_fract_x
_atom_site_fract_y
_atom_site_fract_z
_atom_site_occupancy
Sc1 0.0000 0.0000 0.0000 1
Mn1 0.0000 0.0000 0.5000 1
Zn1 0.0000 0.0000 0.2439 1
```


The following is a PBE-GGA calculation of an optimized crystal structure of ScMnZn2, from Alexandria.

Output
The value obtained for the formation energy is -16 meV per atom. The density of states at the Fermi level comes out at 3.418 states/eV/f.u. The calculation puts the calculated volume at 16.050 Å³/atom.

Structure (CIF):
```
data_ScMnZn2
_cell_length_a 5.4913
_cell_length_b 7.8937
_cell_length_c 2.9621
_cell_angle_alpha 90.00
_cell_angle_beta 90.00
_cell_angle_gamma 90.00
_space_group_name_H-M_alt 'C m m m'
_space_group_IT_number 65
_space_group_name_Hall '-C 2 2'
loop_
_atom_site_label
_atom_site_fract_x
_atom_site_fract_y
_atom_site_fract_z
_atom_site_occupancy
Sc1 0.0000 0.0000 0.0000 1
Mn1 0.0000 0.5000 0.0000 1
Zn1 0.2500 0.2500 0.5000 1
```


The following is a PBE-GGA calculation of an optimized crystal structure of ScMnZn2, from Alexandria.

Output
The value obtained for the formation energy is -22 meV per atom. The density of states at the Fermi level comes out at 2.529 states/eV/f.u. The calculation puts the calculated volume at 16.981 Å³/atom.

Structure (CIF):
```
data_ScMnZn2
_cell_length_a 8.9128
_cell_length_b 3.0893
_cell_length_c 5.0555
_cell_angle_alpha 90.00
_cell_angle_beta 102.60
_cell_angle_gamma 90.00
_space_group_name_H-M_alt 'C 1 2/m 1'
_space_group_IT_number 12
loop_
_space_group_symop_operation_xyz
'x,y,z'
'-x,-y,-z'
'-x,y,-z'
'x,-y,z'
'x+1/2,y+1/2,z'
'-x+1/2,-y+1/2,-z'
'-x+1/2,y+1/2,-z'
'x+1/2,-y+1/2,z'
loop_
_atom_site_label
_atom_site_fract_x
_atom_site_fract_y
_atom_site_fract_z
_atom_site_occupancy
Sc1 0.0000 0.0000 0.0000 1
Mn1 0.0000 0.5000 0.5000 1
Zn1 0.2405 0.0000 0.7154 1
```